(1)
DFT (GGA-PBEsol) results for a relaxed TaCrCd crystal.

Unit cell a=6.198 b=6.198 c=6.198 alpha=90.00 beta=90.00 gamma=90.00
Space group F-43m (No. 216)
Inequivalent atoms, fractional coordinates:
Ta  0.000  0.000  0.000
Cr  0.000  0.000  0.500
Cd  0.250  0.250  0.750

Values from the calculation:
volume = 59.5 Å³/f.u.
magnetic moment = 2.70 μB/f.u.
energy relative to the elements = 1411 meV per atom
total DFT energy (no corrections) = -0.242 Ha/atom



(2)
DFT (GGA-PBEsol) results for a relaxed TaCrCd crystal.

Unit cell a=2.9020 b=2.9020 c=7.0256 alpha=90.00 beta=90.00 gamma=120.00
Space group P3m1 (No. 156)
Inequivalent atoms, fractional coordinates:
Ta  0.0000  0.0000  0.0000
Cr  0.6667  0.3333  0.2998
Cd  0.3333  0.6667  0.6354

Values from the calculation:
volume = 51.2 Å³/f.u.
magnetic moment = 2.67 μB/f.u.
energy relative to the elements = 493 meV per atom
total DFT energy (no corrections) = -0.276 Ha/atom



(3)
DFT (GGA-PBEsol) results for a relaxed TaCr4Cd crystal.

Unit cell a=6.859 b=6.859 c=6.859 alpha=90.00 beta=90.00 gamma=90.00
Space group F-43m (No. 216)
Inequivalent atoms, fractional coordinates:
Ta  0.000  0.000  0.000
Cr  0.124  0.124  0.376
Cd  0.250  0.250  0.750

Values from the calculation:
volume = 80.7 Å³/f.u.
magnetic moment = 0.00 μB/f.u.
energy relative to the elements = 203 meV per atom
total DFT energy (no corrections) = -0.328 Ha/atom



(4)
DFT (GGA-PBEsol) results for a relaxed Ta2CrCd crystal.

Unit cell a=5.571 b=9.125 c=2.707 alpha=90.00 beta=107.45 gamma=90.00
Space group C2/m (No. 12)
Inequivalent atoms, fractional coordinates:
Ta  0.250  0.250  0.000
Cr  0.000  0.000  0.500
Cd  0.000  0.500  0.500

Values from the calculation:
volume = 65.6 Å³/f.u.
magnetic moment = 0.00 μB/f.u.
energy relative to the elements = 412 meV per atom
total DFT energy (no corrections) = -0.321 Ha/atom



(5)
DFT (GGA-PBEsol) results for a relaxed Ta2CrCd crystal.

Unit cell a=6.430 b=6.430 c=6.430 alpha=90.00 beta=90.00 gamma=90.00
Space group F-43m (No. 216)
Inequivalent atoms, fractional coordinates:
Ta  0.000  0.000  0.000
Ta  0.250  0.250  0.250
Cr  0.000  0.000  0.500
Cd  0.250  0.250  0.750

Values from the calculation:
volume = 66.5 Å³/f.u.
magnetic moment = 0.48 μB/f.u.
energy relative to the elements = 474 meV per atom
total DFT energy (no corrections) = -0.318 Ha/atom



(6)
DFT (GGA-PBEsol) results for a relaxed Ta2CrCd crystal.

Unit cell a=2.9212 b=2.9212 c=28.1196 alpha=90.00 beta=90.00 gamma=120.00
Space group R3m (No. 160, hexagonal axes)
Inequivalent atoms, fractional coordinates:
Ta  0.0000  0.0000  0.0000
Ta  0.0000  0.0000  0.2463
Cr  0.0000  0.0000  0.5072
Cd  0.0000  0.0000  0.7573

Values from the calculation:
volume = 69.3 Å³/f.u.
magnetic moment = 2.12 μB/f.u.
energy relative to the elements = 432 meV per atom
total DFT energy (no corrections) = -0.320 Ha/atom



(7)
DFT (GGA-PBEsol) results for a relaxed CrCdTc2 crystal.

Unit cell a=9.555 b=2.882 c=4.543 alpha=90.00 beta=111.59 gamma=90.00
Space group C2/m (No. 12)
Inequivalent atoms, fractional coordinates:
Cr  0.000  0.000  0.000
Cd  0.000  0.500  0.500
Tc  0.220  0.500  0.215

Values from the calculation:
volume = 58.2 Å³/f.u.
magnetic moment = 0.00 μB/f.u.
energy relative to the elements = 382 meV per atom
total DFT energy (no corrections) = -0.298 Ha/atom



(8)
DFT (GGA-PBEsol) results for a relaxed CrCd2Tc crystal.

Unit cell a=6.455 b=6.455 c=6.455 alpha=90.00 beta=90.00 gamma=90.00
Space group Fm-3m (No. 225)
Inequivalent atoms, fractional coordinates:
Cr  0.000  0.000  0.000
Cd  0.250  0.250  0.250
Tc  0.000  0.000  0.500

Values from the calculation:
volume = 67.2 Å³/f.u.
magnetic moment = 2.17 μB/f.u.
energy relative to the elements = 685 meV per atom
total DFT energy (no corrections) = -0.194 Ha/atom